No. 1
This record from the Alexandria database describes crystalline PuUPt at its relaxed geometry. The functional is GGA-PBE.

Its space group is P-6m2 (187). The calculation puts the formation energy from the elements at -0.353 eV/atom. Its total energy is -32.721 eV/f.u.

Cell: 4.845 4.845 2.797 Å, 90.00 90.00 120.00°
Sites, in units of the cell vectors:
Pu: 0.000 0.000 0.000
U: 0.333 0.667 0.000
Pt: 0.667 0.333 0.500

***

No. 2
This record from the Alexandria database describes crystalline PuU3Pt12 at its relaxed geometry. The functional is GGA-PBE.

Its space group is P4/mmm (123). The calculation puts the formation energy from the elements at -0.718 eV/atom. Its total energy is -132.173 eV/f.u.

Cell: 4.159 4.159 16.669 Å, 90.00 90.00 90.00°
Sites, in units of the cell vectors:
Pu: 0.000 0.000 0.000
U: 0.000 0.000 0.249
U: 0.000 0.000 0.500
U: 0.000 0.000 0.751
Pt: 0.000 0.500 0.128
Pt: 0.000 0.500 0.375
Pt: 0.000 0.500 0.625
Pt: 0.000 0.500 0.872
Pt: 0.500 0.000 0.128
Pt: 0.500 0.000 0.375
Pt: 0.500 0.000 0.625
Pt: 0.500 0.000 0.872
Pt: 0.500 0.500 0.000
Pt: 0.500 0.500 0.251
Pt: 0.500 0.500 0.500
Pt: 0.500 0.500 0.749

***

No. 3
This record from the Alexandria database describes crystalline PuUPt at its relaxed geometry. The functional is GGA-PBE.

Its space group is I4mm (107). The calculation puts the formation energy from the elements at -0.411 eV/atom. Its total energy is -32.895 eV/f.u.

Cell: 5.399 5.399 5.399 Å, 140.82 140.82 56.62°
Sites, in units of the cell vectors:
Pu: 0.000 0.000 0.000
U: 0.671 0.671 0.000
Pt: 0.327 0.327 0.000

***

No. 4
This record from the Alexandria database describes crystalline PuUZnPt at its relaxed geometry. The functional is GGA-PBE.

Its space group is F-43m (216). The calculation puts the formation energy from the elements at -0.372 eV/atom. Its total energy is -34.422 eV/f.u.

Cell: 4.786 4.786 4.786 Å, 60.00 60.00 60.00°
Sites, in units of the cell vectors:
Pu: 0.000 0.000 0.000
U: 0.250 0.250 0.250
Zn: 0.750 0.750 0.750
Pt: 0.500 0.500 0.500

***

No. 5
This record from the Alexandria database describes crystalline Pu2VPt9 at its relaxed geometry. The functional is GGA-PBE.

Its space group is P4/mmm (123). The calculation puts the formation energy from the elements at -0.591 eV/atom. Its total energy is -99.246 eV/f.u.

Cell: 4.074 4.074 12.297 Å, 90.00 90.00 90.00°
Sites, in units of the cell vectors:
Pu: 0.000 0.000 0.172
Pu: 0.000 0.000 0.828
V: 0.000 0.000 0.500
Pt: 0.000 0.500 0.000
Pt: 0.000 0.500 0.349
Pt: 0.000 0.500 0.651
Pt: 0.500 0.000 0.000
Pt: 0.500 0.000 0.349
Pt: 0.500 0.000 0.651
Pt: 0.500 0.500 0.176
Pt: 0.500 0.500 0.500
Pt: 0.500 0.500 0.824

***

No. 6
This record from the Alexandria database describes crystalline PuV2Pt at its relaxed geometry. The functional is GGA-PBE.

Its space group is Fm-3m (225). The calculation puts the formation energy from the elements at -0.066 eV/atom. Its total energy is -38.873 eV/f.u.

Cell: 4.498 4.498 4.498 Å, 60.00 60.00 60.00°
Sites, in units of the cell vectors:
Pu: 0.000 0.000 0.000
V: 0.250 0.250 0.250
V: 0.750 0.750 0.750
Pt: 0.500 0.500 0.500

***

No. 7
This record from the Alexandria database describes crystalline Pu2VPt at its relaxed geometry. The functional is GGA-PBE.

Its space group is P4/mmm (123). The calculation puts the formation energy from the elements at -0.107 eV/atom. Its total energy is -44.250 eV/f.u.

Cell: 4.430 4.430 4.109 Å, 90.00 90.00 90.00°
Sites, in units of the cell vectors:
Pu: 0.000 0.500 0.000
Pu: 0.500 0.000 0.000
V: 0.000 0.000 0.500
Pt: 0.500 0.500 0.500

***

No. 8
This record from the Alexandria database describes crystalline Pu2PtW at its relaxed geometry. The functional is GGA-PBE.

Its space group is R-3m (166). The calculation puts the formation energy from the elements at 0.354 eV/atom. Its total energy is -46.243 eV/f.u.

Cell: 11.018 11.018 11.018 Å, 15.02 15.02 15.02°
Sites, in units of the cell vectors:
Pu: 0.087 0.087 0.087
Pu: 0.913 0.913 0.913
Pt: 0.500 0.500 0.500
W: 0.000 0.000 0.000